The following is a GGA-PBE calculation of a geometry-optimized AlV3I structure, from the Alexandria database.

Summary:
For the uncorrected formation energy, the calculation gives 1.53 eV per atom. The density of states at the Fermi level is 7.49 states/eV/f.u. The crystal system is cubic. The excess energy over the best structure of this formula in the dataset comes out at 296 meV per atom.

Cell and atoms, written as extended XYZ:
```
5
Lattice="-4.171 0.963 2.030 -1.409 -4.455 -0.782 1.750 -1.292 4.209" Properties=species:S:1:pos:R:3 pbc="T T T"
I 0.000 0.000 0.000
Al -1.915 -2.392 2.729
V -0.705 -2.228 -0.391
V 0.875 -0.646 2.104
V -2.086 0.481 1.015
```

---

The following is a GGA-PBE calculation of a geometry-optimized AlW2I structure, from the Alexandria database.

Summary:
For the uncorrected formation energy, the calculation gives 1.04 eV per atom. The density of states at the Fermi level is 2.45 states/eV/f.u. The crystal system is cubic. The excess energy over the best structure of this formula in the dataset comes out at 0 meV per atom.

Cell and atoms, written as extended XYZ:
```
4
Lattice="0.000 3.244 3.244 3.244 0.000 3.244 3.244 3.244 0.000" Properties=species:S:1:pos:R:3 pbc="T T T"
I 3.244 3.244 3.244
Al 0.000 0.000 0.000
W 1.622 1.622 1.622
W 4.866 4.866 4.866
```

---

> Which of these has the lowest excess energy over the best structure of this formula in the dataset?

AlW2I

---

> excess energy over the best structure of this formula in the dataset of number 1 (AlV3I)?

296 meV per atom